VASP calculation (meta-GGA SCAN) on a PBEsol-optimized structure of PtPb2.

Lattice parameters (Å, degrees): 3.0313 5.1696 5.1696 120.00 90.00 90.00
Fractional positions:
1 Pb 0.5000 0.6667 0.3333
2 Pb 0.5000 0.3333 0.6667
3 Pt 0.0000 0.0000 0.0000

SG: No. 191
E_form, eV per atom: 0.4865

***

VASP calculation (meta-GGA SCAN) on a PBEsol-optimized structure of Sr3RuPt.

Lattice parameters (Å, degrees): 5.6264 5.6264 5.6264 90.00 90.00 90.00
Site moments in Bohr magnetons follow the coordinates.
Fractional positions:
1 Ru 0.5000 0.5000 0.5000  1.94
2 Pt 0.0000 0.0000 0.0000  0.00
3 Sr 0.0000 0.5000 0.0000  -0.01
4 Sr 0.0000 0.0000 0.5000  -0.01
5 Sr 0.5000 0.0000 0.0000  -0.01

SG: No. 221
E_form, eV per atom: 0.2575

***

VASP calculation (meta-GGA SCAN) on a PBEsol-optimized structure of Al2TlI2.

Lattice parameters (Å, degrees): 3.8878 3.8878 10.0310 101.17 101.17 90.00
Fractional positions:
1 I 0.3882 0.3882 0.7765
2 I 0.6118 0.6118 0.2235
3 Tl 0.0000 0.0000 0.0000
4 Al 0.2500 0.7500 0.5000
5 Al 0.7500 0.2500 0.5000

Formation energy from raw total energies, eV/atom: -0.086
SG: No. 139

***

VASP calculation (meta-GGA SCAN) on a PBEsol-optimized structure of BaRh3I.

Lattice parameters (Å, degrees): 4.9005 4.9005 4.9005 90.00 90.00 90.00
Fractional positions:
1 I 0.0000 0.0000 0.0000
2 Rh 0.0000 0.5000 0.0000
3 Rh 0.0000 0.0000 0.5000
4 Rh 0.5000 0.0000 0.0000
5 Ba 0.5000 0.5000 0.5000

Formation energy from raw total energies, eV/atom: 0.371
SG: No. 221

***

VASP calculation (meta-GGA SCAN) on a PBEsol-optimized structure of InPtRh2.

Lattice parameters (Å, degrees): 3.9479 3.9479 4.7913 114.33 114.33 90.00
Site moments in Bohr magnetons follow the coordinates.
Fractional positions:
1 Rh 0.5000 0.5000 0.0000  0.65
2 Rh 0.7500 0.2500 0.5000  0.41
3 Pt 0.2500 0.7500 0.5000  0.17
4 In 0.0000 0.0000 0.0000  -0.02

SG: No. 119
E_form, eV per atom: -0.2442

***

VASP calculation (meta-GGA SCAN) on a PBEsol-optimized structure of Sn3HgMo.

Lattice parameters (Å, degrees): 5.2012 5.2012 5.2012 90.00 90.00 90.00
Fractional positions:
1 Mo 0.0000 0.0000 0.0000
2 Hg 0.5000 0.5000 0.5000
3 Sn 0.0000 0.5000 0.0000
4 Sn 0.0000 0.0000 0.5000
5 Sn 0.5000 0.0000 0.0000

SG: No. 221
E_form, eV per atom: 0.2026

***

VASP calculation (meta-GGA SCAN) on a PBEsol-optimized structure of Ta2CdSi.

Lattice parameters (Å, degrees): 2.8551 4.1175 5.7661 90.00 98.23 90.00
Fractional positions:
1 Cd 0.5000 0.5000 0.0000
2 Si 0.5000 0.5000 0.5000
3 Ta 0.9315 0.0000 0.7304
4 Ta 0.0685 0.0000 0.2696

Formation energy from raw total energies, eV/atom: 0.069
SG: No. 10

***

VASP calculation (meta-GGA SCAN) on a PBEsol-optimized structure of HgI2.

Lattice parameters (Å, degrees): 8.8078 8.8078 13.7716 108.65 108.65 90.00
Fractional positions:
1 Hg 0.3136 0.0605 0.6272
2 Hg 0.3136 0.5667 0.6272
3 Hg 0.8167 0.0636 0.1272
4 Hg 0.3105 0.0636 0.1272
5 Hg 0.9364 0.1833 0.8728
6 Hg 0.9364 0.6895 0.8728
7 Hg 0.4333 0.6864 0.3728
8 Hg 0.9395 0.6864 0.3728
9 I 0.1349 0.1349 0.2699
10 I 0.3849 0.8849 0.7699
11 I 0.1151 0.6151 0.2301
12 I 0.8651 0.8651 0.7301
13 I 0.3844 0.3844 0.7687
14 I 0.6344 0.1344 0.2687
15 I 0.8656 0.3656 0.7313
16 I 0.6156 0.6156 0.2313
17 I 0.7355 0.7355 0.0000
18 I 0.2645 0.2645 0.0000
19 I 0.5145 0.4855 0.5000
20 I 0.9855 0.0145 0.5000
21 I 0.5145 0.0145 0.5000
22 I 0.9855 0.4855 0.5000
23 I 0.7355 0.2645 0.0000
24 I 0.2645 0.7355 0.0000

Formation energy from raw total energies, eV/atom: -0.264
SG: No. 141